# 1
Compound: Sm4Ga16Ir3
Source: Alexandria
Functional: PBE
Structure: relaxed

Results
magnetization	0.00	μB per cell
volume	18.9	A^3/atom
calculated total energy	-108.19	eV per cell
DOS(E_F)	5.9	states/eV/f.u.

Unit cell a=6.199 b=6.199 c=11.323 alpha=90.00 beta=90.00 gamma=90.00
Element x y z (fractional)
Ga  0.500  0.500  0.196
Ga  0.752  0.248  0.382
Ga  0.752  0.248  0.618
Ga  0.500  0.500  0.804
Ga  0.248  0.248  0.382
Ga  0.752  0.752  0.618
Ga  0.712  0.712  0.000
Ga  0.752  0.752  0.382
Ga  0.288  0.288  0.000
Ga  0.000  0.000  0.224
Ga  0.000  0.000  0.776
Ga  0.288  0.712  0.000
Ga  0.248  0.752  0.618
Ga  0.248  0.248  0.618
Ga  0.248  0.752  0.382
Ga  0.712  0.288  0.000
Sm  0.500  0.000  0.195
Sm  0.000  0.500  0.195
Sm  0.500  0.000  0.805
Sm  0.000  0.500  0.805
Ir  0.000  0.000  0.000
Ir  0.000  0.500  0.500
Ir  0.500  0.000  0.500

=====

# 2
Compound: Li6GaPt2
Source: Alexandria
Functional: PBE
Structure: relaxed

Results
magnetization	0.00	μB per cell
volume	16.6	A^3/atom
calculated total energy	-30.35	eV per cell
DOS(E_F)	3.4	states/eV/f.u.

Unit cell a=4.393 b=4.393 c=9.282 alpha=76.31 beta=76.31 gamma=60.00
Element x y z (fractional)
Li  0.810  0.810  0.569
Li  0.289  0.289  0.133
Li  0.711  0.711  0.867
Li  0.429  0.429  0.713
Li  0.190  0.190  0.431
Li  0.571  0.571  0.287
Ga  0.000  0.000  0.000
Pt  0.909  0.909  0.272
Pt  0.091  0.091  0.728

=====

# 3
Compound: Hf2NbB6
Source: Alexandria
Functional: PBE
Structure: relaxed

Results
magnetization	0.00	μB per cell
volume	9.7	A^3/atom
calculated total energy	-78.36	eV per cell
DOS(E_F)	1.2	states/eV/f.u.

Unit cell a=3.433 b=5.431 c=5.431 alpha=120.00 beta=90.00 gamma=90.00
Element x y z (fractional)
B  0.500  0.332  0.000
B  0.500  0.668  0.000
B  0.500  0.000  0.668
B  0.500  0.332  0.332
B  0.500  0.000  0.332
B  0.500  0.668  0.668
Hf  0.000  0.333  0.667
Hf  0.000  0.667  0.333
Nb  0.000  0.000  0.000

=====

# 4
Compound: AlCuTc2
Source: Alexandria
Functional: PBE
Structure: relaxed

Results
magnetization	0.00	μB per cell
volume	14.0	A^3/atom
calculated total energy	-28.26	eV per cell
DOS(E_F)	3.9	states/eV/f.u.

Unit cell a=2.639 b=2.639 c=8.315 alpha=90.00 beta=90.00 gamma=104.44
Element x y z (fractional)
Cu  0.500  0.500  0.750
Tc  0.000  0.000  0.499
Tc  0.000  0.000  0.001
Al  0.500  0.500  0.250

=====

# 5
Compound: ScSiPb2
Source: Alexandria
Functional: PBE
Structure: relaxed

Results
magnetization	0.00	μB per cell
volume	24.8	A^3/atom
calculated total energy	-18.22	eV per cell
DOS(E_F)	3.5	states/eV/f.u.

Unit cell a=3.355 b=3.355 c=9.145 alpha=90.00 beta=90.00 gamma=105.27
Element x y z (fractional)
Pb  0.000  0.000  0.506
Pb  0.000  0.000  0.994
Sc  0.500  0.500  0.250
Si  0.500  0.500  0.750

=====

# 6
Compound: CaPd2Rh
Source: Alexandria
Functional: PBE
Structure: relaxed

Results
magnetization	0.56	μB per cell
volume	17.5	A^3/atom
calculated total energy	-20.58	eV per cell
DOS(E_F)	7.2	states/eV/f.u.

Unit cell a=4.628 b=4.628 c=4.628 alpha=60.00 beta=60.00 gamma=60.00
Each line ends with the local moment (μB).
Element x y z (fractional)
Pd  0.750  0.750  0.750  0.08
Pd  0.250  0.250  0.250  0.08
Rh  0.500  0.500  0.500  0.41
Ca  0.000  0.000  0.000  0.00

=====

# 7
Compound: SmTc2N3
Source: Alexandria
Functional: PBE
Structure: relaxed

Results
magnetization	0.00	μB per cell
volume	13.1	A^3/atom
calculated total energy	-106.01	eV per cell
DOS(E_F)	2.8	states/eV/f.u.

Unit cell a=3.287 b=3.955 c=12.048 alpha=90.00 beta=90.00 gamma=90.00
Element x y z (fractional)
N  0.999  0.500  0.340
N  0.999  0.500  0.660
N  0.001  0.000  0.160
N  0.001  0.000  0.840
N  0.998  0.000  0.500
N  0.002  0.500  0.000
Sm  0.499  0.500  0.500
Sm  0.501  0.000  0.000
Tc  0.001  0.500  0.832
Tc  0.001  0.500  0.168
Tc  0.999  0.000  0.332
Tc  0.999  0.000  0.668

=====

# 8
Compound: Tl2TcMo
Source: Alexandria
Functional: PBE
Structure: relaxed

Results
magnetization	0.00	μB per cell
volume	19.0	A^3/atom
calculated total energy	-22.53	eV per cell
DOS(E_F)	3.6	states/eV/f.u.

Unit cell a=3.107 b=5.298 c=5.851 alpha=52.20 beta=90.00 gamma=90.00
Element x y z (fractional)
Tc  0.000  0.000  0.500
Tl  0.500  0.500  0.000
Tl  0.000  0.000  0.000
Mo  0.500  0.500  0.500

=====

# 9
Compound: ScAg2Sb2
Source: Alexandria
Functional: PBE
Structure: relaxed

Results
magnetization	0.00	μB per cell
volume	24.8	A^3/atom
calculated total energy	-19.76	eV per cell
DOS(E_F)	3.4	states/eV/f.u.

Unit cell a=4.474 b=4.474 c=6.963 alpha=71.26 beta=71.26 gamma=90.00
Element x y z (fractional)
Sb  0.250  0.750  0.500
Sb  0.750  0.250  0.500
Sc  0.000  0.000  0.000
Ag  0.604  0.604  0.792
Ag  0.396  0.396  0.208

=====

# 10
Compound: LiOs2Br
Source: Alexandria
Functional: PBE
Structure: relaxed

Results
magnetization	0.00	μB per cell
volume	15.8	A^3/atom
calculated total energy	-21.98	eV per cell
DOS(E_F)	2.1	states/eV/f.u.

Unit cell a=9.911 b=9.911 c=9.911 alpha=15.84 beta=15.84 gamma=15.84
Element x y z (fractional)
Br  0.250  0.250  0.250
Li  0.750  0.750  0.750
Os  0.006  0.006  0.006
Os  0.494  0.494  0.494

=====

# 11
Compound: SrTb2TiN4
Source: Alexandria
Functional: PBE
Structure: relaxed

Results
magnetization	0.00	μB per cell
volume	15.7	A^3/atom
calculated total energy	-127.38	eV per cell

Unit cell a=3.494 b=6.272 c=11.971 alpha=90.00 beta=90.00 gamma=106.17
Element x y z (fractional)
N  0.258  0.516  0.122
N  0.415  0.829  0.750
N  0.742  0.484  0.878
N  0.585  0.171  0.250
N  0.000  0.000  0.500
N  0.000  0.000  0.000
N  0.258  0.516  0.378
N  0.742  0.484  0.622
Sr  0.102  0.203  0.750
Sr  0.898  0.797  0.250
Ti  0.168  0.336  0.250
Ti  0.832  0.664  0.750
Tb  0.371  0.741  0.538
Tb  0.629  0.259  0.462
Tb  0.629  0.259  0.038
Tb  0.371  0.741  0.962

=====

# 12
Compound: Li2HgPd2
Source: Alexandria
Functional: PBE
Structure: relaxed

Results
magnetization	0.00	μB per cell
volume	16.1	A^3/atom
calculated total energy	-32.47	eV per cell
DOS(E_F)	0.9	states/eV/f.u.

Unit cell a=7.136 b=7.136 c=3.159 alpha=90.00 beta=90.00 gamma=90.00
Element x y z (fractional)
Li  0.662  0.838  0.500
Li  0.338  0.162  0.500
Li  0.162  0.662  0.500
Li  0.838  0.338  0.500
Hg  0.500  0.500  0.000
Hg  0.000  0.000  0.000
Pd  0.365  0.865  0.000
Pd  0.865  0.635  0.000
Pd  0.135  0.365  0.000
Pd  0.635  0.135  0.000

=====

# 13
Compound: CsIn2As2
Source: Alexandria
Functional: PBE
Structure: relaxed

Results
magnetization	0.00	μB per cell
volume	33.9	A^3/atom
calculated total energy	-17.23	eV per cell
DOS(E_F)	1.1	states/eV/f.u.

Unit cell a=4.797 b=4.797 c=8.099 alpha=72.77 beta=72.77 gamma=90.00
Element x y z (fractional)
In  0.750  0.250  0.500
In  0.250  0.750  0.500
Cs  0.000  0.000  0.000
As  0.648  0.648  0.704
As  0.352  0.352  0.296

=====

# 14
Compound: Mg3Zr
Source: Alexandria
Functional: PBE
Structure: relaxed

Results
magnetization	0.00	μB per cell
volume	22.6	A^3/atom
calculated total energy	-12.94	eV per cell
DOS(E_F)	2.9	states/eV/f.u.

Unit cell a=2.997 b=5.117 c=5.887 alpha=90.00 beta=90.00 gamma=90.00
Element x y z (fractional)
Mg  0.500  0.500  0.825
Mg  0.500  0.000  0.516
Mg  0.000  0.500  0.313
Zr  0.000  0.000  0.013

=====

# 15
Compound: CdSb2
Source: Alexandria
Functional: PBE
Structure: relaxed

Results
magnetization	0.00	μB per cell
volume	27.3	A^3/atom
calculated total energy	-8.63	eV per cell
DOS(E_F)	1.2	states/eV/f.u.

Unit cell a=4.057 b=4.057 c=5.644 alpha=109.66 beta=109.66 gamma=89.78
Element x y z (fractional)
Sb  0.818  0.818  0.639
Sb  0.182  0.182  0.361
Cd  0.500  0.500  0.000

=====

# 16
Compound: RbYBe2Au
Source: Alexandria
Functional: PBE
Structure: relaxed

Results
magnetization	0.00	μB per cell
volume	24.7	A^3/atom
calculated total energy	-14.18	eV per cell
DOS(E_F)	3.5	states/eV/f.u.

Unit cell a=4.639 b=5.729 c=4.639 alpha=90.00 beta=90.00 gamma=90.00
Element x y z (fractional)
Au  0.000  0.000  0.000
Be  0.500  0.000  0.000
Be  0.000  0.000  0.500
Y  0.500  0.500  0.500
Rb  0.000  0.500  0.000

=====

# 17
Compound: RbSb2PbI
Source: Alexandria
Functional: PBE
Structure: relaxed

Results
magnetization	1.39	μB per cell
volume	47.6	A^3/atom
calculated total energy	-10.05	eV per cell
DOS(E_F)	5.4	states/eV/f.u.

Unit cell a=6.134 b=6.134 c=6.325 alpha=90.00 beta=90.00 gamma=90.00
Each line ends with the local moment (μB).
Element x y z (fractional)
Pb  0.500  0.500  0.500  -0.06
Sb  0.000  0.500  0.000  0.26
Sb  0.500  0.000  0.000  0.26
Rb  0.000  0.000  0.000  0.02
I  0.000  0.000  0.500  0.12

=====

# 18
Compound: Pr12Cd3Ag5
Source: Alexandria
Functional: PBE
Structure: relaxed

Results
magnetization	0.01	μB per cell
volume	36.9	A^3/atom
calculated total energy	-279.76	eV per cell
DOS(E_F)	29.0	states/eV/f.u.

Unit cell a=15.657 b=15.657 c=15.657 alpha=109.47 beta=109.47 gamma=109.47
Element x y z (fractional)
Cd  0.250  0.125  0.375
Cd  0.625  0.375  0.750
Cd  0.625  0.250  0.375
Cd  0.875  0.750  0.125
Cd  0.375  0.625  0.250
Cd  0.375  0.750  0.625
Cd  0.750  0.875  0.625
Cd  0.250  0.625  0.875
Cd  0.125  0.875  0.750
Cd  0.125  0.250  0.875
Cd  0.875  0.125  0.250
Cd  0.750  0.375  0.125
Pr  0.668  0.222  0.590
Pr  0.222  0.668  0.090
Pr  0.668  0.447  0.579
Pr  0.579  0.632  0.410
Pr  0.132  0.722  0.553
Pr  0.632  0.053  0.222
Pr  0.278  0.410  0.832
Pr  0.590  0.722  0.668
Pr  0.832  0.921  0.053
Pr  0.553  0.222  0.132
Pr  0.278  0.868  0.947
Pr  0.410  0.132  0.579
Pr  0.368  0.947  0.778
Pr  0.947  0.368  0.278
Pr  0.090  0.921  0.368
Pr  0.168  0.090  0.722
Pr  0.868  0.590  0.921
Pr  0.447  0.778  0.868
Pr  0.921  0.090  0.868
Pr  0.332  0.553  0.421
Pr  0.832  0.910  0.278
Pr  0.590  0.868  0.421
Pr  0.421  0.368  0.590
Pr  0.947  0.579  0.168
Pr  0.053  0.632  0.722
Pr  0.132  0.410  0.079
Pr  0.778  0.332  0.910
Pr  0.368  0.421  0.090
Pr  0.079  0.910  0.132
Pr  0.553  0.332  0.921
Pr  0.722  0.132  0.053
Pr  0.332  0.778  0.410
Pr  0.421  0.053  0.332
Pr  0.778  0.447  0.368
Pr  0.632  0.579  0.910
Pr  0.079  0.168  0.447
Pr  0.410  0.278  0.332
Pr  0.053  0.421  0.832
Pr  0.910  0.079  0.632
Pr  0.090  0.168  0.222
Pr  0.722  0.590  0.168
Pr  0.222  0.553  0.632
Pr  0.910  0.832  0.778
Pr  0.579  0.947  0.668
Pr  0.921  0.832  0.553
Pr  0.447  0.668  0.079
Pr  0.168  0.079  0.947
Pr  0.868  0.278  0.447
Ag  0.625  0.750  0.875
Ag  0.250  0.375  0.625
Ag  0.750  0.125  0.875
Ag  0.625  0.875  0.250
Ag  0.500  0.000  0.000
Ag  0.000  0.000  0.500
Ag  0.250  0.875  0.125
Ag  0.125  0.750  0.375
Ag  0.500  0.000  0.500
Ag  0.000  0.500  0.500
Ag  0.500  0.500  0.500
Ag  0.125  0.375  0.250
Ag  0.500  0.500  0.000
Ag  0.750  0.625  0.375
Ag  0.875  0.250  0.625
Ag  0.875  0.625  0.750
Ag  0.000  0.500  0.000
Ag  0.375  0.125  0.750
Ag  0.000  0.000  0.000
Ag  0.375  0.250  0.125

=====

# 19
Compound: LiTb3Ho3S8
Source: Alexandria
Functional: PBE
Structure: relaxed

Results
magnetization	0.00	μB per cell
volume	22.1	A^3/atom
calculated total energy	-92.59	eV per cell
DOS(E_F)	4.4	states/eV/f.u.

Unit cell a=7.759 b=7.760 c=7.769 alpha=119.96 beta=90.00 gamma=120.00
Element x y z (fractional)
S  0.245  0.491  0.743
S  0.749  0.498  0.747
S  0.755  0.002  0.257
S  0.245  0.998  0.743
S  0.248  0.002  0.257
S  0.251  0.502  0.253
S  0.752  0.998  0.743
S  0.755  0.509  0.257
Ho  0.500  0.500  0.500
Ho  0.500  0.000  0.500
Ho  0.000  0.500  0.500
Tb  0.500  0.500  0.000
Tb  0.000  0.000  0.000
Tb  0.000  0.500  0.000
Li  0.000  0.000  0.500

=====

# 20
Compound: Pa2PbW
Source: Alexandria
Functional: PBE
Structure: relaxed

Results
magnetization	0.00	μB per cell
volume	24.3	A^3/atom
calculated total energy	-35.19	eV per cell
DOS(E_F)	5.1	states/eV/f.u.

Unit cell a=3.282 b=3.282 c=9.031 alpha=90.00 beta=90.00 gamma=90.00
Element x y z (fractional)
W  0.500  0.500  0.000
Pa  0.000  0.000  0.208
Pa  0.000  0.000  0.792
Pb  0.500  0.500  0.500